! GGA-PBEsol TaAl2W, optimized geometry; values from VASP
! Symmetry = No. 47
! Calculated formation energy = -0.0647 eV per atom
&SYSTEM
  ibrav = 0, nat = 4, ntyp = 3
/
ATOMIC_SPECIES
Al 26.98 Al.upf
W 183.84 W.upf
Ta 180.95 Ta.upf
ATOMIC_POSITIONS crystal
Al 0.000 0.000 0.743
Al 0.000 0.000 0.257
W 0.500 0.500 0.500
Ta 0.500 0.500 0.000
CELL_PARAMETERS angstrom
2.751 0.000 0.000
0.000 4.140 0.000
0.000 0.000 5.515

---

! GGA-PBEsol GaFeI2F, optimized geometry; values from VASP
! Symmetry = No. 123
! Formation energy without anion corrections = 0.245 eV/atom
&SYSTEM
  ibrav = 0, nat = 5, ntyp = 4
/
ATOMIC_SPECIES
I 126.90 I.upf
Fe 55.84 Fe.upf
Ga 69.72 Ga.upf
F 19.00 F.upf
ATOMIC_POSITIONS crystal
I 0.000 0.000 0.500
I 0.000 0.500 0.000
Fe 0.500 0.500 0.500
Ga 0.500 0.000 0.000
F 0.000 0.000 0.000
CELL_PARAMETERS angstrom
-0.695 -0.361 -3.811
2.894 -4.985 -0.056
-4.878 -2.845 1.159